# 1
The following is a DFT calculation (PBE-GGA) of an optimized crystal structure of Sr2Al3GaAg4.

Calculated values
- energy of formation from the pure elements (eV per atom) = -0.255
- M_tot (μB/f.u.) = 0.00
- total energy (eV/atom) = -3.1577
- theoretical density (Mg/m³) = 5.6

The structure in CIF format:
```
data_Sr2Al3GaAg4
_symmetry_space_group_name_H-M 'P 1'
_symmetry_Int_Tables_number 1
_cell_length_a 4.4937
_cell_length_b 4.4937
_cell_length_c 11.1263
_cell_angle_alpha 90.00
_cell_angle_beta 90.00
_cell_angle_gamma 90.00
loop_
_symmetry_equiv_pos_as_xyz
'x,y,z'
loop_
_atom_site_label
_atom_site_fract_x
_atom_site_fract_y
_atom_site_fract_z
Sr1 0.0000 0.5000 0.2472
Sr2 0.5000 0.0000 0.7528
Al1 0.0000 0.0000 0.0000
Al2 0.0000 0.5000 0.6263
Al3 0.5000 0.0000 0.3737
Ga1 0.5000 0.5000 0.0000
Ag1 0.0000 0.0000 0.5000
Ag2 0.0000 0.5000 0.8639
Ag3 0.5000 0.0000 0.1361
Ag4 0.5000 0.5000 0.5000
```

=====

# 2
The following is a DFT calculation (PBE-GGA) of an optimized crystal structure of KRbZrCl6.

Calculated values
- M_tot (μB/f.u.) = 0.00
- total energy (eV/atom) = -4.3384
- theoretical density (Mg/m³) = 2.2
- energy relative to the elements, uncorrected (eV per atom) = -1.928

The structure in CIF format:
```
data_KRbZrCl6
_symmetry_space_group_name_H-M 'P 1'
_symmetry_Int_Tables_number 1
_cell_length_a 7.6399
_cell_length_b 7.6399
_cell_length_c 13.0105
_cell_angle_alpha 90.00
_cell_angle_beta 90.00
_cell_angle_gamma 120.00
loop_
_symmetry_equiv_pos_as_xyz
'x,y,z'
loop_
_atom_site_label
_atom_site_fract_x
_atom_site_fract_y
_atom_site_fract_z
K1 0.3333 0.6667 0.2500
K2 0.6667 0.3333 0.7500
Rb1 0.0000 0.0000 0.0000
Rb2 0.0000 0.0000 0.5000
Zr1 0.3333 0.6667 0.7500
Zr2 0.6667 0.3333 0.2500
Cl1 0.0646 0.4011 0.6393
Cl2 0.0646 0.6635 0.8607
Cl3 0.3365 0.4011 0.8607
Cl4 0.3365 0.9354 0.6393
Cl5 0.4011 0.0646 0.1393
Cl6 0.4011 0.3365 0.3607
Cl7 0.5989 0.6635 0.6393
Cl8 0.5989 0.9354 0.8607
Cl9 0.6635 0.0646 0.3607
Cl10 0.6635 0.5989 0.1393
Cl11 0.9354 0.3365 0.1393
Cl12 0.9354 0.5989 0.3607
```

=====

# 3
The following is a DFT calculation (PBE-GGA) of an optimized crystal structure of TbEr2In3Te6.

Calculated values
- M_tot (μB/f.u.) = 0.00
- total energy (eV/atom) = -4.3633
- theoretical density (Mg/m³) = 6.5
- energy relative to the elements, uncorrected (eV per atom) = -0.962

The structure in CIF format:
```
data_TbEr2In3Te6
_symmetry_space_group_name_H-M 'P 1'
_symmetry_Int_Tables_number 1
_cell_length_a 7.6201
_cell_length_b 7.6201
_cell_length_c 8.5035
_cell_angle_alpha 98.60
_cell_angle_beta 98.60
_cell_angle_gamma 120.00
loop_
_symmetry_equiv_pos_as_xyz
'x,y,z'
loop_
_atom_site_label
_atom_site_fract_x
_atom_site_fract_y
_atom_site_fract_z
Tb1 0.0000 0.0000 0.0000
Er1 0.3332 0.6668 0.0000
Er2 0.6668 0.3332 0.0000
In1 0.1657 0.8343 0.5000
In2 0.5000 0.5000 0.5000
In3 0.8343 0.1657 0.5000
Te1 0.0727 0.4090 0.2181
Te2 0.2639 0.2639 0.7829
Te3 0.4090 0.0727 0.2181
Te4 0.5910 0.9273 0.7819
Te5 0.7361 0.7361 0.2171
Te6 0.9273 0.5910 0.7819
```

=====

# 4
The following is a DFT calculation (PBE-GGA) of an optimized crystal structure of LiPmZn4.

Calculated values
- energy of formation from the pure elements (eV per atom) = -0.206
- M_tot (μB/f.u.) = 0.00
- total energy (eV/atom) = -2.1656
- theoretical density (Mg/m³) = 5.8

The structure in CIF format:
```
data_LiPmZn4
_symmetry_space_group_name_H-M 'P 1'
_symmetry_Int_Tables_number 1
_cell_length_a 4.6509
_cell_length_b 6.8059
_cell_length_c 7.4790
_cell_angle_alpha 90.00
_cell_angle_beta 90.00
_cell_angle_gamma 90.00
loop_
_symmetry_equiv_pos_as_xyz
'x,y,z'
loop_
_atom_site_label
_atom_site_fract_x
_atom_site_fract_y
_atom_site_fract_z
Li1 0.0000 0.0000 0.0000
Li2 0.5000 0.5000 0.5000
Pm1 0.0000 0.5000 0.0000
Pm2 0.5000 0.0000 0.5000
Zn1 0.0000 0.2301 0.3283
Zn2 0.0000 0.2301 0.6717
Zn3 0.0000 0.7699 0.3283
Zn4 0.0000 0.7699 0.6717
Zn5 0.5000 0.2699 0.1717
Zn6 0.5000 0.2699 0.8283
Zn7 0.5000 0.7301 0.1717
Zn8 0.5000 0.7301 0.8283
```